(1)
VASP calculation (GGA-PBE) on Hf6Ga2W after structural relaxation.

- SG: P-62m

Unit cell a=7.643 b=7.643 c=3.599 alpha=90.00 beta=90.00 gamma=120.00
Element x y z (fractional)
Ga (0.667, 0.333, 0.000)
Ga (0.333, 0.667, 0.000)
Hf (0.266, 0.000, 0.000)
Hf (0.000, 0.266, 0.000)
Hf (0.734, 0.734, 0.000)
Hf (0.607, 0.000, 0.500)
Hf (0.393, 0.393, 0.500)
Hf (0.000, 0.607, 0.500)
W (0.000, 0.000, 0.500)


(2)
VASP calculation (GGA-PBE) on YHf2Ga after structural relaxation.

- SG: F-43m

Unit cell a=4.992 b=4.992 c=4.992 alpha=60.00 beta=60.00 gamma=60.00
Element x y z (fractional)
Ga (0.500, 0.500, 0.500)
Hf (0.000, 0.000, 0.000)
Hf (0.750, 0.750, 0.750)
Y (0.250, 0.250, 0.250)


(3)
VASP calculation (GGA-PBE) on Y2HfGa after structural relaxation.

- SG: F-43m

Unit cell a=5.129 b=5.129 c=5.129 alpha=60.00 beta=60.00 gamma=60.00
Each line ends with the local moment (μB).
Element x y z (fractional)
Ga (0.500, 0.500, 0.500)  0.00
Hf (0.250, 0.250, 0.250)  0.11
Y (0.000, 0.000, 0.000)  0.09
Y (0.750, 0.750, 0.750)  0.04


(4)
VASP calculation (GGA-PBE) on YHf2Ga2 after structural relaxation.

- SG: I4/mmm

Unit cell a=6.849 b=6.849 c=6.849 alpha=144.20 beta=144.20 gamma=51.53
Element x y z (fractional)
Ga (0.401, 0.401, 0.000)
Ga (0.599, 0.599, 0.000)
Hf (0.750, 0.250, 0.500)
Hf (0.250, 0.750, 0.500)
Y (0.000, 0.000, 0.000)


| no. | V (Å³ per cell) | calculated total energy (eV per atom) |
| --- | --- | --- |
| 1 | 182 | -8.94 |
| 2 | 88 | -7.32 |
| 3 | 95 | -6.41 |
| 4 | 109 | -6.86 |